The following is a PBE calculation of a geometry-optimized Sm5Ga2Si structure, from the Alexandria database.

Lattice parameters (Å, degrees): 7.7919 7.7919 8.9116 115.92 115.92 90.00
With the nearest neighbours (Å) after each atom.
Sites, in units of the cell vectors:
Sm1 0.5224 0.6768 0.6992  3 Ga 3.11-3.13, 2 Si 3.20, 1 Sm 3.27
Sm2 0.8232 0.9776 0.3008  3 Ga 3.11-3.13, 2 Si 3.20, 1 Sm 3.27
Sm3 0.0000 0.0000 0.0000  4 Ga 3.11
Sm4 0.5000 0.5000 0.0000  4 Ga 3.11
Sm5 0.1768 0.0224 0.6992  3 Ga 3.11-3.13, 2 Si 3.20, 1 Sm 3.27
Sm6 0.6768 0.1768 0.6992  3 Ga 3.11-3.13, 2 Si 3.20, 1 Sm 3.27
Sm7 0.0224 0.5224 0.6992  3 Ga 3.11-3.13, 2 Si 3.20, 1 Sm 3.27
Sm8 0.3232 0.8232 0.3008  3 Ga 3.11-3.13, 2 Si 3.20, 1 Sm 3.27
Sm9 0.9776 0.4776 0.3008  3 Ga 3.11-3.13, 2 Si 3.20, 1 Sm 3.27
Sm10 0.4776 0.3232 0.3008  3 Ga 3.11-3.13, 2 Si 3.20, 1 Sm 3.27
Ga1 0.1196 0.3804 0.0000  1 Ga 2.64
Ga2 0.6196 0.1196 0.0000  1 Ga 2.64
Ga3 0.3804 0.8804 0.0000  1 Ga 2.64
Ga4 0.8804 0.6196 0.0000  1 Ga 2.64
Si1 0.7500 0.7500 0.5000  10 Sm 3.20-3.50
Si2 0.2500 0.2500 0.5000  10 Sm 3.20-3.50

Results
Formation energy without anion corrections = -4.0 eV per formula unit
Symmetry = No. 140
DFT total energy = -4.879 eV/atom